Record 1
VASP calculation (PBE) on a relaxed KNdTiSnO6 crystal.

Values from the calculation:
size of the total moment	0.000	Bohr magnetons per cell
VASP energy	-7.1858	eV per atom
ΔE_f (raw)	-2435	meV per atom

Cell and atoms, written as POSCAR:
```
KNdTiSnO6
1.0
0.0000 4.0042 4.0042
4.0042 0.0000 4.0042
4.0042 4.0042 0.0000
K Nd Ti Sn O
1 1 1 1 6
Cartesian
6.0063 6.0063 6.0063
2.0021 2.0021 2.0021
4.0042 4.0042 4.0042
0.0000 0.0000 0.0000
4.0042 2.0492 4.0042
4.0042 5.9591 4.0042
5.9591 4.0042 4.0042
2.0492 4.0042 4.0042
4.0042 4.0042 2.0492
4.0042 4.0042 5.9591
```

Record 2
VASP calculation (PBE) on a relaxed KNdZrSnO6 crystal.

Values from the calculation:
size of the total moment	0.000	Bohr magnetons per cell
VASP energy	-7.2867	eV per atom
ΔE_f (raw)	-2470	meV per atom

Cell and atoms, written as POSCAR:
```
KNdZrSnO6
1.0
0.0000 4.1293 4.1293
4.1293 0.0000 4.1293
4.1293 4.1293 0.0000
K Nd Zr Sn O
1 1 1 1 6
Cartesian
6.1939 6.1939 6.1939
2.0646 2.0646 2.0646
4.1293 4.1293 4.1293
0.0000 0.0000 0.0000
4.1293 2.0490 4.1293
4.1293 6.2095 4.1293
6.2095 4.1293 4.1293
2.0490 4.1293 4.1293
4.1293 4.1293 2.0490
4.1293 4.1293 6.2095
```